GGA-PBEsol LaPm3, relaxed; volume = 32.783 Å³/atom; VASP energy = -20.7 eV/cell; M_tot = 0.00 μB/cell
1.0
5.0821 0.0000 0.0000
0.0000 5.0821 0.0000
-2.5411 -2.5411 5.0772
Pm La
3 1
direct
0.5000 0.5000 0.0000 Pm
0.7500 0.2500 0.5000 Pm
0.2500 0.7500 0.5000 Pm
0.0000 0.0000 0.0000 La

---

GGA-PBEsol LaPm3, relaxed; volume = 33.023 Å³/atom; VASP energy = -41.2 eV/cell; M_tot = 0.00 μB/cell
1.0
-5.1695 1.8740 -1.9935
2.4356 -0.4946 -6.7808
-3.2453 -5.6618 3.0932
Pm La
6 2
direct
0.7500 0.8341 0.1659 Pm
0.2500 0.1659 0.3318 Pm
0.2500 0.1659 0.8341 Pm
0.2500 0.6682 0.8341 Pm
0.7500 0.3318 0.1659 Pm
0.7500 0.8341 0.6682 Pm
0.7500 0.3333 0.6667 La
0.2500 0.6667 0.3333 La

---

GGA-PBEsol LaPmRu2, relaxed; volume = 20.737 Å³/atom; VASP energy = -30.9 eV/cell; M_tot = 0.00 μB/cell
1.0
4.8952 0.0000 0.0000
2.4476 4.2394 0.0000
2.4476 1.4131 3.9969
Pm Ru La
1 2 1
direct
0.0000 0.0000 0.0000 Pm
0.2500 0.2500 0.2500 Ru
0.7500 0.7500 0.7500 Ru
0.5000 0.5000 0.5000 La

---

GGA-PBEsol LaPmTl2, relaxed; volume = 28.780 Å³/atom; VASP energy = -17.6 eV/cell; M_tot = 0.00 μB/cell
1.0
5.4604 0.0000 0.0000
2.7302 4.7288 0.0000
2.7302 1.5763 4.4584
La Pm Tl
1 1 2
direct
0.0000 0.0000 0.0000 La
0.5000 0.5000 0.5000 Pm
0.2500 0.2500 0.2500 Tl
0.7500 0.7500 0.7500 Tl

---

GGA-PBEsol LaPmZn2, relaxed; volume = 24.100 Å³/atom; VASP energy = -14.8 eV/cell; M_tot = 0.00 μB/cell
1.0
-4.7060 -0.9838 1.8369
-1.8056 -4.8196 0.0029
-0.5493 -2.5395 4.4427
La Zn Pm
1 2 1
direct
0.5000 0.5000 0.5000 La
0.7500 0.7500 0.7500 Zn
0.2500 0.2500 0.2500 Zn
0.0000 0.0000 0.0000 Pm

---

GGA-PBEsol La2Pt, relaxed; volume = 27.122 Å³/atom; VASP energy = -59.4 eV/cell; M_tot = 0.00 μB/cell
1.0
4.7033 0.0000 0.0000
0.0000 7.7413 0.0000
0.0000 -3.8706 6.7042
La Pt
6 3
direct
0.0000 0.2633 0.0000 La
0.5000 0.5921 0.0000 La
0.5000 0.0000 0.5921 La
0.0000 0.0000 0.2633 La
0.0000 0.7367 0.7367 La
0.5000 0.4079 0.4079 La
0.5000 0.0000 0.0000 Pt
0.0000 0.6667 0.3333 Pt
0.0000 0.3333 0.6667 Pt

---

GGA-PBEsol LaPt2, relaxed; volume = 20.497 Å³/atom; VASP energy = -44.6 eV/cell; M_tot = 0.00 μB/cell
1.0
4.3130 0.0000 0.0000
-2.1565 5.0077 0.0000
0.0000 0.0000 5.6941
Pt La
4 2
direct
0.5000 0.0000 0.5000 Pt
0.9041 0.8082 0.2500 Pt
0.5000 0.0000 0.0000 Pt
0.0959 0.1918 0.7500 Pt
0.1920 0.3840 0.2500 La
0.8080 0.6160 0.7500 La

---

GGA-PBEsol La2Pt3, relaxed; volume = 23.835 Å³/atom; VASP energy = -36.3 eV/cell; M_tot = 0.00 μB/cell
1.0
4.3806 0.0000 0.0000
2.1903 3.7937 0.0000
2.1903 1.2646 7.1713
La Pt
2 3
direct
0.4085 0.4085 0.7745 La
0.5915 0.5915 0.2255 La
0.8344 0.8344 0.4968 Pt
0.0000 0.0000 0.0000 Pt
0.1656 0.1656 0.5032 Pt

---

GGA-PBEsol La3Pt2, relaxed; E above lowest polymorph = 0.000 eV/atom; volume = 26.624 Å³/atom; VASP energy = -103.6 eV/cell; M_tot = 0.00 μB/cell
1.0
-3.1404 -6.4344 -2.8695
3.0715 -6.0798 3.6193
-5.1395 -2.7187 5.0687
La Pt
9 6
direct
0.8372 0.3320 0.6059 La
0.1628 0.6680 0.3941 La
0.6059 0.8372 0.3320 La
0.3941 0.1628 0.6680 La
0.3320 0.6059 0.8372 La
0.6680 0.3941 0.1628 La
0.2001 0.2001 0.2001 La
0.0000 0.0000 0.0000 La
0.7999 0.7999 0.7999 La
0.8353 0.0425 0.4110 Pt
0.5890 0.1647 0.9575 Pt
0.9575 0.5890 0.1647 Pt
0.0425 0.4110 0.8353 Pt
0.1647 0.9575 0.5890 Pt
0.4110 0.8353 0.0425 Pt

---

GGA-PBEsol La3Pt4, relaxed; volume = 22.343 Å³/atom; VASP energy = -102.8 eV/cell; M_tot = 0.00 μB/cell
1.0
-0.1389 5.6200 1.3136
-4.2553 -3.4847 6.0014
7.9433 -1.7811 0.0025
Pt La
8 6
direct
0.0560 0.8359 0.5016 Pt
0.9440 0.1641 0.4984 Pt
0.5000 0.0000 0.0000 Pt
0.2201 0.6657 0.1641 Pt
0.0000 0.0000 0.0000 Pt
0.7799 0.3343 0.8359 Pt
0.5544 0.4984 0.3343 Pt
0.4456 0.5016 0.6657 Pt
0.7156 0.7472 0.1227 La
0.9684 0.3755 0.2528 La
0.0316 0.6245 0.7472 La
0.5929 0.8773 0.6245 La
0.4071 0.1227 0.3755 La
0.2844 0.2528 0.8773 La

---

GGA-PBEsol La3Pt2, relaxed; E above lowest polymorph = 0.090 eV/atom; volume = 27.435 Å³/atom; VASP energy = -34.1 eV/cell; M_tot = 0.00 μB/cell
1.0
4.9007 0.0000 0.0000
-2.4503 4.2441 0.0000
0.0000 0.0000 6.5953
Pt La
2 3
direct
0.3333 0.6667 0.8055 Pt
0.6667 0.3333 0.1945 Pt
0.3333 0.6667 0.3337 La
0.6667 0.3333 0.6663 La
0.0000 0.0000 0.0000 La

---

GGA-PBEsol La3Pt2, relaxed; E above lowest polymorph = 0.091 eV/atom; volume = 30.365 Å³/atom; VASP energy = -34.1 eV/cell; M_tot = 0.00 μB/cell
1.0
-2.4556 -1.6549 2.9681
1.6794 -2.3437 3.0439
0.9984 6.8294 7.5951
La Pt
3 2
direct
0.0000 0.0000 0.0000 La
0.7765 0.7765 0.6704 La
0.2235 0.2235 0.3296 La
0.3923 0.3923 0.8230 Pt
0.6077 0.6077 0.1770 Pt

---

GGA-PBEsol LaPt, relaxed; volume = 24.264 Å³/atom; VASP energy = -29.1 eV/cell; M_tot = 0.00 μB/cell
1.0
-0.0631 -0.7779 3.8583
-2.7961 -3.4433 -0.7399
4.3247 -2.9670 -2.5356
Pt La
2 2
direct
0.5905 0.7500 0.1811 Pt
0.4095 0.2500 0.8189 Pt
0.8645 0.7500 0.7291 La
0.1355 0.2500 0.2709 La

---

GGA-PBEsol La2Pt3, relaxed; volume = 21.583 Å³/atom; VASP energy = -73.4 eV/cell; M_tot = 0.00 μB/cell
1.0
5.5591 -0.0730 0.0000
-2.6279 4.8993 0.0000
-1.4656 -2.4131 7.9807
La Pt
4 6
direct
0.9876 0.1421 0.4036 La
0.7386 0.5840 0.5964 La
0.8340 0.4886 0.0964 La
0.3921 0.7376 0.9036 La
0.2865 0.7865 0.5000 Pt
0.4228 0.5596 0.2450 Pt
0.3145 0.1777 0.7550 Pt
0.8096 0.1728 0.7450 Pt
0.4277 0.0645 0.2550 Pt
0.0365 0.0365 0.0000 Pt

---

GGA-PBEsol La5Pt3, relaxed; E above lowest polymorph = 0.000 eV/atom; volume = 26.588 Å³/atom; VASP energy = -108.7 eV/cell; M_tot = 0.00 μB/cell
1.0
-1.7095 2.7911 -5.9188
4.4885 -5.9659 -4.1097
-8.2344 -1.3183 1.7566
La Pt
10 6
direct
0.0000 0.3333 0.6667 La
0.5000 0.6667 0.3333 La
0.2500 0.0000 0.2490 La
0.2500 0.2490 0.0000 La
0.0000 0.6667 0.3333 La
0.2500 0.7510 0.7510 La
0.5000 0.3333 0.6667 La
0.7500 0.0000 0.7510 La
0.7500 0.7510 0.0000 La
0.7500 0.2490 0.2490 La
0.7500 0.3891 0.0000 Pt
0.7500 0.0000 0.3891 Pt
0.2500 0.3891 0.3891 Pt
0.7500 0.6109 0.6109 Pt
0.2500 0.6109 0.0000 Pt
0.2500 0.0000 0.6109 Pt

---

GGA-PBEsol La3Pt, relaxed; volume = 30.126 Å³/atom; VASP energy = -101.6 eV/cell; M_tot = 0.00 μB/cell
1.0
6.5948 0.0000 0.0000
0.0000 7.2300 0.0000
0.0000 0.0000 10.1092
Pt La
4 12
direct
0.9239 0.6228 0.7500 Pt
0.5761 0.1228 0.7500 Pt
0.0761 0.3772 0.2500 Pt
0.4239 0.8772 0.2500 Pt
0.3318 0.1730 0.4399 La
0.8318 0.3270 0.9399 La
0.3318 0.1730 0.0601 La
0.6429 0.5241 0.2500 La
0.1682 0.6730 0.0601 La
0.8318 0.3270 0.5601 La
0.1682 0.6730 0.4399 La
0.1429 0.9759 0.7500 La
0.8571 0.0241 0.2500 La
0.3571 0.4759 0.7500 La
0.6682 0.8270 0.5601 La
0.6682 0.8270 0.9399 La

---

GGA-PBEsol LaPt2, relaxed; volume = 21.316 Å³/atom; VASP energy = -44.1 eV/cell; M_tot = 0.00 μB/cell
1.0
4.2501 0.0000 0.0000
2.1250 5.4996 0.0534
2.1250 0.5037 5.4768
Pt La
4 2
direct
0.6563 0.3036 0.3838 Pt
0.3437 0.6964 0.6162 Pt
0.3437 0.1162 0.1964 Pt
0.6563 0.8838 0.8036 Pt
0.0438 0.7062 0.2062 La
0.9562 0.2938 0.7938 La

---

GGA-PBEsol La5Pt3, relaxed; E above lowest polymorph = 0.036 eV/atom; volume = 25.854 Å³/atom; VASP energy = -108.2 eV/cell; M_tot = 0.00 μB/cell
1.0
6.3608 0.0000 0.0000
3.1804 8.0644 0.0000
3.1804 0.0000 8.0644
La Pt
10 6
direct
0.2119 0.8736 0.7026 La
0.2881 0.2974 0.1264 La
0.2500 0.5000 0.5000 La
0.7119 0.7026 0.8736 La
0.4145 0.8736 0.2974 La
0.7881 0.1264 0.2974 La
0.5855 0.1264 0.7026 La
0.9145 0.2974 0.8736 La
0.0855 0.7026 0.1264 La
0.7500 0.5000 0.5000 La
0.8426 0.8148 0.5000 Pt
0.6574 0.5000 0.1852 Pt
0.7500 0.0000 0.0000 Pt
0.2500 0.0000 0.0000 Pt
0.1574 0.1852 0.5000 Pt
0.3426 0.5000 0.8148 Pt

---

GGA-PBEsol La2Pt, relaxed; volume = 28.381 Å³/atom; VASP energy = -39.9 eV/cell; M_tot = 0.00 μB/cell
1.0
-1.6917 -0.3972 -3.5479
6.4147 -0.0682 -0.8514
0.0276 -6.9525 0.7651
La Pt
4 2
direct
0.5163 0.0326 0.2267 La
0.4837 0.9674 0.7267 La
0.7886 0.5771 0.4346 La
0.2114 0.4229 0.9346 La
0.1161 0.2322 0.5051 Pt
0.8839 0.7678 0.0051 Pt

---

GGA-PBEsol La2Pt, relaxed; volume = 32.569 Å³/atom; VASP energy = -39.3 eV/cell; M_tot = 0.00 μB/cell
1.0
-3.1494 -2.7308 -0.0022
3.3579 -3.8692 -4.4459
2.9653 -3.4241 5.2195
Pt La
2 4
direct
0.5000 0.5000 0.5000 Pt
0.0000 0.0000 0.0000 Pt
0.0000 0.6417 0.7519 La
0.5000 0.1417 0.7481 La
0.5000 0.8583 0.2519 La
0.0000 0.3583 0.2481 La

---

GGA-PBEsol LaPt5, relaxed; volume = 18.215 Å³/atom; VASP energy = -44.6 eV/cell; M_tot = 0.00 μB/cell
1.0
-1.9371 -1.5108 -3.6038
-2.3827 -3.8555 2.8970
-2.4367 4.7470 -0.6803
Pt La
5 1
direct
0.5000 0.5000 0.0000 Pt
0.5000 0.0000 0.5000 Pt
0.0000 0.3333 0.6667 Pt
0.5000 0.5000 0.5000 Pt
0.0000 0.6667 0.3333 Pt
0.0000 0.0000 0.0000 La

---

GGA-PBEsol La2Pt, relaxed; volume = 27.691 Å³/atom; VASP energy = -158.1 eV/cell; M_tot = 0.00 μB/cell
1.0
9.7954 0.0000 0.0000
4.8977 8.4831 0.0000
4.8977 2.8277 7.9979
La Pt
16 8
direct
0.6250 0.1250 0.6250 La
0.4410 0.0590 0.0590 La
0.4410 0.4410 0.0590 La
0.8090 0.8090 0.1910 La
0.1910 0.8090 0.1910 La
0.8090 0.1910 0.1910 La
0.1250 0.6250 0.6250 La
0.1910 0.8090 0.8090 La
0.0590 0.4410 0.0590 La
0.0590 0.4410 0.4410 La
0.1910 0.1910 0.8090 La
0.6250 0.6250 0.6250 La
0.8090 0.1910 0.8090 La
0.6250 0.6250 0.1250 La
0.4410 0.0590 0.4410 La
0.0590 0.0590 0.4410 La
0.3963 0.8112 0.3963 Pt
0.8112 0.3963 0.3963 Pt
0.3963 0.3963 0.8112 Pt
0.8537 0.8537 0.8537 Pt
0.3963 0.3963 0.3963 Pt
0.8537 0.8537 0.4388 Pt
0.8537 0.4388 0.8537 Pt
0.4388 0.8537 0.8537 Pt

---

GGA-PBEsol La2Pt, relaxed; volume = 30.713 Å³/atom; VASP energy = -79.0 eV/cell; M_tot = 0.00 μB/cell
1.0
7.1697 0.0000 0.0000
0.0000 7.1697 0.0000
0.0000 0.0000 7.1697
La Pt
8 4
direct
0.8319 0.3319 0.1681 La
0.3319 0.3319 0.3319 La
0.6681 0.8319 0.1681 La
0.8319 0.1681 0.6681 La
0.1681 0.8319 0.3319 La
0.3319 0.1681 0.8319 La
0.6681 0.6681 0.6681 La
0.1681 0.6681 0.8319 La
0.0000 0.0000 0.0000 Pt
0.5000 0.0000 0.5000 Pt
0.0000 0.5000 0.5000 Pt
0.5000 0.5000 0.0000 Pt

---

GGA-PBEsol LaPt, relaxed; volume = 25.129 Å³/atom; VASP energy = -43.0 eV/cell; M_tot = 0.00 μB/cell
1.0
-2.6065 -2.6097 1.3346
4.3890 0.4730 3.7329
-5.0323 5.5949 1.1120
La Pt
3 3
direct
0.7594 0.5187 0.3563 La
0.9261 0.8522 0.9977 La
0.5800 0.1599 0.7004 La
0.2070 0.4140 0.0193 Pt
0.3087 0.6173 0.6908 Pt
0.0522 0.1045 0.4023 Pt

---

no.,formation energy (eV per atom)
1,0.016
2,0.036
3,-0.010
4,-0.457
5,-0.291
6,-0.713
7,-1.010
8,-0.948
9,-0.916
10,-1.069
11,-0.826
12,-0.825
13,-1.111
14,-1.025
15,-0.844
16,-0.597
17,-0.923
18,-0.808
19,-0.756
20,-0.665
21,-0.732
22,-0.702
23,-0.694
24,-1.008